Ca2Sc4Sb3O2: relaxed, GGA-PBE.

Calculated values
The value obtained for the uncorrected formation energy is -1.697 eV per atom. The final energy is -6.389 eV per atom.

Cell lengths 4.414, 4.414, 12.603 Å; angles 100.08, 100.08, 90.00 degrees
Atoms (fractional coordinates):
Ca 0.307 0.307 0.613
Ca 0.693 0.693 0.387
Sc 0.418 0.918 0.837
Sc 0.918 0.418 0.837
Sc 0.082 0.582 0.163
Sc 0.582 0.082 0.163
Sb 0.000 0.000 0.000
Sb 0.172 0.172 0.343
Sb 0.828 0.828 0.657
O 0.409 0.409 0.819
O 0.591 0.591 0.181

CsAu: relaxed, GGA-PBE.

Calculated values
For the formation energy, the calculation gives -0.2932 eV per atom. The final energy is -2.359 eV per atom.

Cell lengths 4.496, 15.123, 8.797 Å; angles 90.00, 90.00, 90.00 degrees
Atoms (fractional coordinates):
Cs 0.500 0.833 0.666
Cs 0.500 0.167 0.666
Cs 0.500 0.333 0.166
Cs 0.500 0.667 0.166
Cs 0.500 0.000 0.166
Cs 0.500 0.500 0.666
Au 0.000 0.333 0.834
Au 0.000 0.667 0.834
Au 0.000 0.833 0.334
Au 0.000 0.167 0.334
Au 0.000 0.000 0.834
Au 0.000 0.500 0.334

LiCe2Si3Ir4: relaxed, GGA-PBE.

Calculated values
The value obtained for the uncorrected formation energy is -0.933 eV per atom. The final energy is -7.483 eV per atom.

Cell lengths 4.097, 4.097, 10.205 Å; angles 90.00, 90.00, 90.00 degrees
Atoms (fractional coordinates):
Li 0.500 0.500 0.500
Ce 0.500 0.000 0.258
Ce 0.000 0.500 0.742
Si 0.000 0.000 0.500
Si 0.500 0.000 0.873
Si 0.000 0.500 0.127
Ir 0.500 0.500 0.000
Ir 0.000 0.000 0.000
Ir 0.500 0.000 0.639
Ir 0.000 0.500 0.361

Cd41Ir8: relaxed, GGA-PBE.

Calculated values
For the formation energy, the calculation gives -0.0651 eV per atom. The final energy is -2.278 eV per atom.

Cell lengths 10.253, 10.253, 10.253 Å; angles 94.74, 94.74, 94.74 degrees
Atoms (fractional coordinates):
Cd 0.000 0.000 0.000
Cd 0.500 0.500 0.500
Cd 0.500 0.500 0.000
Cd 0.000 0.500 0.500
Cd 0.500 0.000 0.500
Cd 0.450 0.074 0.778
Cd 0.778 0.450 0.074
Cd 0.074 0.778 0.450
Cd 0.550 0.926 0.222
Cd 0.222 0.550 0.926
Cd 0.926 0.222 0.550
Cd 0.050 0.870 0.730
Cd 0.730 0.050 0.870
Cd 0.870 0.730 0.050
Cd 0.950 0.130 0.270
Cd 0.270 0.950 0.130
Cd 0.130 0.270 0.950
Cd 0.178 0.128 0.682
Cd 0.682 0.178 0.128
Cd 0.128 0.682 0.178
Cd 0.822 0.872 0.318
Cd 0.318 0.822 0.872
Cd 0.872 0.318 0.822
Cd 0.364 0.739 0.389
Cd 0.389 0.364 0.739
Cd 0.739 0.389 0.364
Cd 0.636 0.261 0.611
Cd 0.611 0.636 0.261
Cd 0.261 0.611 0.636
Cd 0.596 0.783 0.965
Cd 0.965 0.596 0.783
Cd 0.783 0.965 0.596
Cd 0.404 0.217 0.035
Cd 0.035 0.404 0.217
Cd 0.217 0.035 0.404
Cd 0.537 0.776 0.669
Cd 0.669 0.537 0.776
Cd 0.776 0.669 0.537
Cd 0.463 0.224 0.331
Cd 0.331 0.463 0.224
Cd 0.224 0.331 0.463
Ir 0.286 0.889 0.617
Ir 0.617 0.286 0.889
Ir 0.889 0.617 0.286
Ir 0.714 0.111 0.383
Ir 0.383 0.714 0.111
Ir 0.111 0.383 0.714
Ir 0.805 0.805 0.805
Ir 0.195 0.195 0.195

PrMn9P4: relaxed, GGA-PBE.

Calculated values
For the formation energy, the calculation gives -0.4419 eV per atom. The final energy is -8.224 eV per atom.

Cell lengths 7.647, 7.647, 7.968 Å; angles 118.68, 118.68, 90.00 degrees
Atoms (fractional coordinates):
Pr 0.750 0.750 0.500
Pr 0.250 0.250 0.500
Mn 0.065 0.190 0.000
Mn 0.935 0.810 0.000
Mn 0.565 0.310 0.000
Mn 0.435 0.690 0.000
Mn 0.310 0.435 0.000
Mn 0.690 0.565 0.000
Mn 0.190 0.935 0.000
Mn 0.810 0.065 0.000
Mn 0.000 0.500 0.000
Mn 0.500 0.000 0.000
Mn 0.807 0.307 0.353
Mn 0.546 0.046 0.353
Mn 0.954 0.193 0.647
Mn 0.693 0.454 0.647
Mn 0.193 0.693 0.647
Mn 0.454 0.954 0.647
Mn 0.307 0.546 0.353
Mn 0.046 0.807 0.353
P 0.295 0.795 0.259
P 0.965 0.465 0.259
P 0.535 0.705 0.741
P 0.205 0.035 0.741
P 0.705 0.205 0.741
P 0.035 0.535 0.741
P 0.795 0.965 0.259
P 0.465 0.295 0.259

TeRh2Au: relaxed, GGA-PBE.

Calculated values
The value obtained for the uncorrected formation energy is 0.023 eV per atom. The final energy is -5.257 eV per atom.

Cell lengths 4.259, 4.259, 5.562 Å; angles 74.93, 74.93, 49.19 degrees
Atoms (fractional coordinates):
Te 0.500 0.500 0.000
Rh 0.244 0.244 0.779
Rh 0.756 0.756 0.221
Au 0.000 0.000 0.500

Ho6Er3Tl: relaxed, GGA-PBE.

Calculated values
For the formation energy, the calculation gives 0.0369 eV per atom. The final energy is -4.315 eV per atom.

Cell lengths 6.089, 10.804, 10.804 Å; angles 119.78, 90.00, 90.00 degrees
Atoms (fractional coordinates):
Ho 0.031 0.712 0.612
Ho 0.531 0.612 0.712
Ho 0.337 0.512 0.943
Ho 0.837 0.943 0.512
Ho 0.444 0.946 0.054
Ho 0.672 0.267 0.733
Ho 0.172 0.733 0.267
Ho 0.944 0.054 0.946
Ho 0.337 0.057 0.488
Ho 0.837 0.488 0.057
Ho 0.031 0.388 0.288
Ho 0.531 0.288 0.388
Er 0.469 0.942 0.732
Er 0.969 0.732 0.942
Er 0.054 0.392 0.608
Er 0.554 0.608 0.392
Er 0.969 0.058 0.268
Er 0.469 0.268 0.058
Tl 0.142 0.209 0.791
Tl 0.642 0.791 0.209

SrGa2Ru2: relaxed, GGA-PBE.

Calculated values
For the formation energy, the calculation gives -0.1085 eV per atom. The final energy is -5.366 eV per atom.

Cell lengths 7.656, 7.656, 2.964 Å; angles 90.00, 90.00, 90.00 degrees
Atoms (fractional coordinates):
Ru 0.360 0.860 0.000
Ru 0.860 0.640 0.000
Ru 0.640 0.140 0.000
Ru 0.140 0.360 0.000
Ga 0.147 0.647 0.500
Ga 0.647 0.853 0.500
Ga 0.853 0.353 0.500
Ga 0.353 0.147 0.500
Sr 0.000 0.000 0.000
Sr 0.500 0.500 0.000

MnBeGa2Si: relaxed, GGA-PBE.

Calculated values
The value obtained for the uncorrected formation energy is 0.747 eV per atom. The final energy is -4.127 eV per atom.

Cell lengths 4.491, 4.026, 4.491 Å; angles 90.00, 90.00, 90.00 degrees
Atoms (fractional coordinates):
Be 0.000 0.500 0.000
Si 0.500 0.500 0.500
Mn 0.000 0.000 0.000
Ga 0.000 0.000 0.500
Ga 0.500 0.000 0.000

Re2MoAu: relaxed, GGA-PBE.

Calculated values
For the formation energy, the calculation gives 0.2634 eV per atom. The final energy is -9.488 eV per atom.

Cell lengths 3.967, 3.966, 3.953 Å; angles 90.00, 90.00, 90.00 degrees
Atoms (fractional coordinates):
Au 0.500 0.000 0.500
Mo 0.000 0.500 0.500
Re 0.000 0.000 0.000
Re 0.500 0.500 0.000

K4RbHg5: relaxed, GGA-PBE.

Calculated values
For the formation energy, the calculation gives -0.2081 eV per atom. The final energy is -0.895 eV per atom.

Cell lengths 4.384, 4.384, 20.275 Å; angles 90.00, 90.00, 90.00 degrees
Atoms (fractional coordinates):
K 0.000 0.000 0.205
K 0.000 0.000 0.401
K 0.000 0.000 0.599
K 0.000 0.000 0.795
Rb 0.000 0.000 0.000
Hg 0.500 0.500 0.120
Hg 0.500 0.500 0.295
Hg 0.500 0.500 0.500
Hg 0.500 0.500 0.705
Hg 0.500 0.500 0.880

Nb3ReF: relaxed, GGA-PBE.

Calculated values
The value obtained for the uncorrected formation energy is 0.133 eV per atom. The final energy is -8.773 eV per atom.

Cell lengths 4.290, 4.290, 4.290 Å; angles 90.00, 90.00, 90.00 degrees
Atoms (fractional coordinates):
Re 0.500 0.500 0.500
Nb 0.000 0.500 0.000
Nb 0.000 0.000 0.500
Nb 0.500 0.000 0.000
F 0.000 0.000 0.000

FeAgS2Cl: relaxed, GGA-PBE.

Calculated values
The value obtained for the uncorrected formation energy is 0.142 eV per atom. The final energy is -4.141 eV per atom.

Cell lengths 4.282, 4.282, 5.303 Å; angles 90.00, 90.00, 90.00 degrees
Atoms (fractional coordinates):
S 0.000 0.500 0.000
S 0.500 0.000 0.000
Fe 0.000 0.000 0.000
Ag 0.500 0.500 0.500
Cl 0.000 0.000 0.500

Cu2H3Pd4: relaxed, GGA-PBE.

Calculated values
The final energy is -4.283 eV per atom.

Cell lengths 2.733, 5.448, 7.469 Å; angles 111.39, 100.54, 90.00 degrees
Atoms (fractional coordinates):
Cu 0.236 0.736 0.471
Cu 0.764 0.264 0.529
H 0.902 0.902 0.803
H 0.098 0.098 0.197
H 0.500 0.500 0.000
Pd 0.398 0.648 0.797
Pd 0.602 0.352 0.203
Pd 0.602 0.851 0.203
Pd 0.398 0.149 0.797

WCl2: relaxed, GGA-PBE.

Calculated values
The value obtained for the uncorrected formation energy is 0.401 eV per atom. The final energy is -5.148 eV per atom.

Cell lengths 13.785, 13.785, 13.785 Å; angles 167.28, 167.28, 18.02 degrees
Atoms (fractional coordinates):
W 0.000 0.000 0.000
W 0.750 0.250 0.500
Cl 0.554 0.554 0.000
Cl 0.196 0.696 0.500
Cl 0.446 0.446 0.000
Cl 0.304 0.804 0.500